Entry 1:
The following is a DFT calculation (PBE-GGA) of an optimized crystal structure of TaHPb2Se.

a b c (Å): 5.784 5.784 3.259
angles (deg): 90.00 90.00 90.00
Space group P4/mmm (No. 123)
One atom of each set of equivalent atoms:
Ta  0.000  0.000  0.000 x1
H  0.500  0.500  0.000 x1
Pb  0.000  0.500  0.500 x2
Se  0.500  0.500  0.500 x1

E_tot in hartree per atom: -0.1695
Crystal system: tetragonal
Total magnetization in μB per atom: 0.166

---

Entry 2:
The following is a DFT calculation (PBE-GGA) of an optimized crystal structure of Tm3HPbSe.

a b c (Å): 8.120 4.145 8.422
angles (deg): 90.00 98.78 90.00
Space group P2_1/m (No. 11)
One atom of each set of equivalent atoms:
Tm  0.083  0.250  0.317 x2
Tm  0.332  0.250  0.967 x2
Tm  0.388  0.750  0.629 x2
H  0.408  0.750  0.899 x2
Pb  0.340  0.750  0.249 x2
Se  0.150  0.250  0.654 x2

E_tot in hartree per atom: -0.1778
Crystal system: monoclinic
Total magnetization in μB per atom: 0.000

---

Entry 3:
The following is a DFT calculation (PBE-GGA) of an optimized crystal structure of SiH3Pb.

a b c (Å): 3.826 3.826 3.826
angles (deg): 90.00 90.00 90.00
Space group Pm-3m (No. 221)
One atom of each set of equivalent atoms:
Si  0.000  0.000  0.000 x1
H  0.000  0.000  0.500 x3
Pb  0.500  0.500  0.500 x1

Crystal system: cubic
Total magnetization in μB per atom: 0.000
Energy relative to the lowest polymorph listed for this composition in kJ per mole of atoms: 0.0

---

Entry 4:
The following is a DFT calculation (PBE-GGA) of an optimized crystal structure of SiHPb2.

a b c (Å): 6.978 6.978 6.978
angles (deg): 90.00 90.00 90.00
Space group Fm-3m (No. 225)
One atom of each set of equivalent atoms:
Si  0.000  0.000  0.000 x4
H  0.000  0.000  0.500 x4
Pb  0.250  0.250  0.250 x8

Crystal system: cubic
Total magnetization in μB per atom: 0.000
Energy relative to the lowest polymorph listed for this composition in kJ per mole of atoms: 1.3